Compound: Ca2YMo
Source: the Alexandria database
Functional: GGA-PBE
Structure: relaxed

Geometry as POSCAR:
```
Ca2YMo
1.0
1.6700 0.9642 11.5062
-1.6700 0.9642 11.5062
0.0000 -1.9283 11.5062
Ca Y Mo
2 1 1
Direct
0.2372 0.2372 0.2372
0.7628 0.7628 0.7628
0.0000 0.0000 0.0000
0.5000 0.5000 0.5000
```

- Density of states at the Fermi level: 5.8 states/eV/cell
- ΔE_f: 0.70 eV per atom
- Energy relative to the lowest polymorph listed for this composition: 268 meV/atom
- SG: R-3m (166)


Compound: KCoCu3
Source: the Alexandria database
Functional: GGA-PBE
Structure: relaxed

Geometry as POSCAR:
```
KCoCu3
1.0
4.6457 0.0000 0.0000
0.0000 4.6457 0.0000
0.0000 0.0000 4.6457
K Co Cu
1 1 3
Direct
0.0000 0.0000 0.0000
0.5000 0.5000 0.5000
0.0000 0.5000 0.5000
0.5000 0.0000 0.5000
0.5000 0.5000 0.0000
```

- Density of states at the Fermi level: 7.8 states/eV/cell
- ΔE_f: 0.72 eV per atom
- Energy relative to the lowest polymorph listed for this composition: 0 meV/atom
- SG: Pm-3m (221)


Compound: Nd5PuRu4
Source: the Alexandria database
Functional: GGA-PBE
Structure: relaxed

Geometry as POSCAR:
```
Nd5PuRu4
1.0
8.8480 -2.1609 0.0000
8.8480 2.1609 0.0000
-2.5902 0.0000 6.8276
Nd Pu Ru
5 1 4
Direct
0.0000 0.0000 0.0000
0.3259 0.3259 0.9481
0.3368 0.3368 0.4618
0.6632 0.6632 0.5382
0.6741 0.6741 0.0519
0.0000 0.0000 0.5000
0.1420 0.1420 0.7788
0.4851 0.4851 0.2877
0.5149 0.5149 0.7123
0.8580 0.8580 0.2212
```

- Density of states at the Fermi level: 11.0 states/eV/cell
- ΔE_f: -0.15 eV per atom
- SG: C2/m (12)


Compound: HfTl3F6
Source: the Alexandria database
Functional: GGA-PBE
Structure: relaxed

Geometry as POSCAR:
```
HfTl3F6
1.0
0.0000 4.7807 6.1536
3.8845 0.0000 6.1536
3.8845 4.7807 0.0000
Hf Tl F
1 3 6
Direct
0.0000 0.0000 0.0000
0.2500 0.2500 0.2500
0.5000 0.5000 0.5000
0.7500 0.7500 0.7500
0.0706 0.6993 0.9294
0.2093 0.7907 0.2093
0.3007 0.9294 0.6993
0.6993 0.0706 0.3007
0.7907 0.2093 0.7907
0.9294 0.3007 0.0706
```

- Density of states at the Fermi level: 1.9 states/eV/cell
- SG: Fmmm (69)


| no. | calculated total energy (eV/atom) |
| --- | --- |
| 1 | -4.63 |
| 2 | -3.37 |
| 3 | -7.68 |
| 4 | -5.45 |